## Mg2AlPd2 (GGA-PBE)

Data for a geometry-optimized Mg2AlPd2 structure.

Summary:
Formation energy in eV per atom: -0.511
ρ in Mg/m³: 5.31
Crystal system: orthorhombic

Cell and atoms, written as CIF:
```
data_Mg2AlPd2
_chemical_formula_sum 'Mg8 Al4 Pd8'
_cell_length_a 5.4432
_cell_length_b 12.6679
_cell_length_c 5.2371
_cell_angle_alpha 90.00
_cell_angle_beta 90.00
_cell_angle_gamma 90.00
_space_group_name_H-M_alt 'I b a m'
_space_group_IT_number 72
_space_group_name_Hall '-I 2 2c'
loop_
_atom_site_label
_atom_site_type_symbol
_atom_site_fract_x
_atom_site_fract_y
_atom_site_fract_z
_atom_site_occupancy
Mg1 Mg 0.1404 0.1334 0.0000 1
Al1 Al 0.0000 0.5000 0.2500 1
Pd1 Pd 0.1538 0.3432 0.0000 1
```